Record 1
This record from the Alexandria database describes Ba2CoReRu after structural relaxation. The functional is GGA-PBE.

## Properties
Energy = -25.17 eV per formula unit
Size of the total moment = 5.004 Bohr magnetons per cell
Formation energy = 1.501 eV per atom

abc: 5.9226 4.4126 5.9226
angles: 90.00 90.00 90.00
Each line ends with the local moment (μB).
Fractional positions:
Re1 0.5000 0.5000 0.5000  3.11
Co1 0.0000 0.5000 0.0000  1.22
Ba1 0.0000 0.0000 0.5000  -0.04
Ru1 0.0000 0.0000 0.0000  0.35
Ba2 0.5000 0.0000 0.0000  -0.04

Record 2
This record from the Alexandria database describes Cs2TlSi after structural relaxation. The functional is GGA-PBE.

## Properties
Formation energy (no corrections) = 10.183 kcal/mol of atoms
Energy = -7.73 eV per formula unit
Size of the total moment = 1.031 Bohr magnetons per cell

abc: 6.2943 6.2943 6.2943
angles: 60.00 60.00 60.00
Each line ends with the local moment (μB).
Fractional positions:
Cs1 0.2500 0.2500 0.2500  0.02
Cs2 0.7500 0.7500 0.7500  0.02
Si1 0.0000 0.0000 0.0000  0.33
Tl1 0.5000 0.5000 0.5000  -0.07

Record 3
This record from the Alexandria database describes Pm2DyHo3Se6 after structural relaxation. The functional is GGA-PBE.

## Properties
Formation energy (no corrections) = -40.715 kcal/mol of atoms
Energy = -69.93 eV per formula unit
Size of the total moment = 0.000 Bohr magnetons per cell

abc: 4.0818 8.2730 9.1941
angles: 103.62 102.83 90.00
Fractional positions:
Pm1 0.1682 0.3359 0.3364
Dy1 0.5000 0.0000 0.0000
Ho1 0.8307 0.1668 0.6614
Se1 0.9966 0.2493 0.9932
Pm2 0.8318 0.6641 0.6636
Se2 0.6630 0.5906 0.3259
Se3 0.0034 0.7507 0.0068
Ho2 0.1693 0.8332 0.3386
Ho3 0.5000 0.5000 0.0000
Se4 0.3370 0.4094 0.6741
Se5 0.6657 0.0740 0.3314
Se6 0.3343 0.9260 0.6686

Record 4
This record from the Alexandria database describes PaCoSb3 after structural relaxation. The functional is GGA-PBE.

## Properties
Formation energy (no corrections) = -6.147 kcal/mol of atoms
Energy = -30.30 eV per formula unit
Size of the total moment = 0.000 Bohr magnetons per cell

abc: 5.7281 6.4279 6.3368
angles: 90.00 90.00 92.95
Fractional positions:
Pa1 0.7535 0.3567 0.7500
Co1 0.4637 0.9594 0.2500
Sb1 0.7912 0.8336 0.0047
Co2 0.5363 0.0406 0.7500
Sb2 0.2088 0.1664 0.9953
Sb3 0.7141 0.3794 0.2500
Sb4 0.2088 0.1664 0.5047
Sb5 0.2859 0.6206 0.7500
Sb6 0.7912 0.8336 0.4953
Pa2 0.2465 0.6433 0.2500

Record 5
This record from the Alexandria database describes LaNiOs2 after structural relaxation. The functional is GGA-PBE.

## Properties
Energy = -30.60 eV per formula unit
Size of the total moment = 0.000 Bohr magnetons per cell
Formation energy = 0.643 eV per atom

abc: 5.2494 5.2494 5.2494
angles: 135.67 135.67 64.49
Fractional positions:
Ni1 0.7500 0.2500 0.5000
Os1 0.5000 0.5000 0.0000
Os2 0.0000 0.0000 0.0000
La1 0.2500 0.7500 0.5000

Record 6
This record from the Alexandria database describes TlZnInF4 after structural relaxation. The functional is GGA-PBE.

## Properties
Formation energy (no corrections) = -45.268 kcal/mol of atoms
Energy = -27.60 eV per formula unit
Size of the total moment = 0.000 Bohr magnetons per cell

abc: 6.1408 6.1149 8.7869
angles: 90.00 118.81 90.00
Fractional positions:
Zn1 0.3006 0.7500 0.2865
F1 0.9423 0.4899 0.7989
Tl1 0.3353 0.2500 0.0607
F2 0.5359 0.7500 0.5303
In1 0.9532 0.7500 0.6037
Tl2 0.6647 0.7500 0.9393
Zn2 0.6994 0.2500 0.7135
F3 0.4816 0.7500 0.1593
F4 0.0577 0.9899 0.2011
In2 0.0468 0.2500 0.3963
F5 0.9423 0.0101 0.7989
F6 0.4641 0.2500 0.4697
F7 0.5184 0.2500 0.8407
F8 0.0577 0.5101 0.2011

Record 7
This record from the Alexandria database describes ReTcBr2 after structural relaxation. The functional is GGA-PBE.

## Properties
Formation energy (no corrections) = 33.344 kcal/mol of atoms
Energy = -20.38 eV per formula unit
Size of the total moment = 0.286 Bohr magnetons per cell

abc: 4.7128 4.7128 4.7128
angles: 60.00 60.00 60.00
Each line ends with the local moment (μB).
Fractional positions:
Tc1 0.7500 0.7500 0.7500  -1.52
Re1 0.5000 0.5000 0.5000  1.62
Br1 0.2500 0.2500 0.2500  -0.03
Br2 0.0000 0.0000 0.0000  0.12

Record 8
This record from the Alexandria database describes Rb2Sn2HgAs2 after structural relaxation. The functional is GGA-PBE.

## Properties
Energy = -21.38 eV per formula unit
Size of the total moment = 0.000 Bohr magnetons per cell
Formation energy = -0.262 eV per atom

abc: 4.1828 8.7336 8.5245
angles: 56.20 89.86 76.10
Fractional positions:
As1 0.1410 0.7170 0.4917
Sn1 0.7699 0.4582 0.6990
Sn2 0.2301 0.5418 0.3010
As2 0.8590 0.2830 0.5083
Hg1 0.0000 0.0000 0.0000
Rb1 0.4155 0.1663 0.2200
Rb2 0.5845 0.8337 0.7800

Record 9
This record from the Alexandria database describes FeOsW2 after structural relaxation. The functional is GGA-PBE.

## Properties
Energy = -45.08 eV per formula unit
Size of the total moment = 0.013 Bohr magnetons per cell
Formation energy = 0.130 eV per atom

abc: 2.7706 2.7706 7.4611
angles: 90.00 90.00 90.00
Fractional positions:
W1 0.0000 0.0000 0.0138
W2 0.0000 0.0000 0.4862
Os1 0.5000 0.5000 0.7500
Fe1 0.5000 0.5000 0.2500